# 1
This record from Alexandria describes an optimized crystal structure of BeSbH. The functional is PBE-GGA.

a b c (Å): 6.830 4.164 6.698
angles (deg): 90.00 90.00 90.00
Element x y z (fractional)
H  0.918  0.250  0.944
Be  0.602  0.750  0.977
Sb  0.248  0.250  0.365
Sb  0.752  0.750  0.635
Be  0.102  0.750  0.523
Be  0.898  0.250  0.477
H  0.582  0.750  0.444
H  0.418  0.250  0.556
H  0.082  0.750  0.056
Sb  0.748  0.250  0.135
Be  0.398  0.250  0.023
Sb  0.252  0.750  0.865

Calculated values
- M_tot: 0.00 μB per formula unit
- Relative energy among the computed polymorphs: 241 meV per atom
- Calculated volume: 15.9 Å³ per atom
- Space group: Pnma

# 2
This record from Alexandria describes an optimized crystal structure of Sr2PmAgHg6. The functional is PBE-GGA.

a b c (Å): 7.960 7.960 7.960
angles (deg): 60.00 60.00 90.00
Element x y z (fractional)
Hg  0.241  0.759  0.000
Sr  0.250  0.750  0.500
Sr  0.750  0.250  0.500
Hg  0.241  0.241  0.000
Hg  0.759  0.759  0.482
Ag  0.000  0.000  0.000
Hg  0.759  0.241  0.000
Hg  0.759  0.759  0.000
Pm  0.500  0.500  0.000
Hg  0.241  0.241  0.518

Calculated values
- M_tot: 0.00 μB per formula unit
- Calculated volume: 35.7 Å³ per atom
- Formation energy from the elements: -0.111 eV per atom
- Space group: Fm-3m

# 3
This record from Alexandria describes an optimized crystal structure of Tb3TiAl8. The functional is PBE-GGA.

a b c (Å): 5.471 5.471 9.513
angles (deg): 73.29 73.29 60.00
Element x y z (fractional)
Al  0.188  0.188  0.436
Ti  0.875  0.875  0.375
Al  0.436  0.436  0.194
Al  0.939  0.939  0.681
Tb  0.501  0.501  0.496
Al  0.939  0.442  0.681
Al  0.436  0.935  0.194
Al  0.687  0.687  0.939
Al  0.442  0.939  0.681
Tb  0.375  0.375  0.875
Tb  0.998  0.998  0.006
Al  0.935  0.436  0.194

Calculated values
- M_tot: 0.00 μB per formula unit
- Calculated volume: 19.4 Å³ per atom
- Formation energy from the elements: -0.444 eV per atom
- Space group: R3m

# 4
This record from Alexandria describes an optimized crystal structure of CaLa2P2N6. The functional is PBE-GGA.

a b c (Å): 5.618 5.618 6.952
angles (deg): 66.17 66.17 60.00
Element x y z (fractional)
N  0.735  0.248  0.282
Ca  0.000  0.000  0.000
P  0.575  0.575  0.276
N  0.735  0.735  0.282
N  0.265  0.265  0.718
N  0.248  0.735  0.282
N  0.265  0.752  0.718
La  0.797  0.797  0.610
P  0.425  0.425  0.724
N  0.752  0.265  0.718
La  0.203  0.203  0.390

Calculated values
- M_tot: 0.00 μB per formula unit
- Formation energy from raw total energies: -0.97 eV per atom
- Calculated volume: 15.3 Å³ per atom
- Space group: R-3m

# 5
This record from Alexandria describes an optimized crystal structure of V3Ni5Pd2. The functional is PBE-GGA.

a b c (Å): 4.778 7.872 7.872
angles (deg): 92.42 72.33 72.33
Element x y z (fractional)
Pd  0.407  0.820  0.365
Ni  0.642  0.703  0.014
V  0.750  0.000  0.000
Ni  0.858  0.986  0.297
Pd  0.593  0.180  0.635
Pd  0.093  0.635  0.180
Ni  0.142  0.014  0.703
V  0.657  0.492  0.193
Ni  0.994  0.756  0.756
Ni  0.006  0.244  0.244
Ni  0.750  0.500  0.500
V  0.250  0.000  0.000
Pd  0.907  0.365  0.820
V  0.343  0.508  0.807
Ni  0.358  0.297  0.986
V  0.843  0.807  0.508
V  0.157  0.193  0.492
Ni  0.494  0.756  0.756
Ni  0.506  0.244  0.244
Ni  0.250  0.500  0.500

Calculated values
- M_tot: 0.00 μB per formula unit
- Calculated volume: 13.3 Å³ per atom
- Formation energy from the elements: 0.121 eV per atom
- Space group: Ibam

# 6
This record from Alexandria describes an optimized crystal structure of NaNbPd2. The functional is PBE-GGA.

a b c (Å): 4.587 4.587 4.587
angles (deg): 60.00 60.00 60.00
Element x y z (fractional)
Na  0.000  0.000  0.000
Nb  0.500  0.500  0.500
Pd  0.750  0.750  0.750
Pd  0.250  0.250  0.250

Calculated values
- M_tot: 0.00 μB per formula unit
- Relative energy among the computed polymorphs: 283 meV per atom
- Calculated volume: 17.1 Å³ per atom
- Formation energy from the elements: 0.072 eV per atom
- Space group: Fm-3m

# 7
This record from Alexandria describes an optimized crystal structure of TlTe4As. The functional is PBE-GGA.

a b c (Å): 6.985 9.431 7.928
angles (deg): 126.50 88.99 90.00
Element x y z (fractional)
As  0.824  0.507  0.013
Te  0.254  0.689  0.378
Te  0.000  0.159  0.000
Te  0.000  0.841  0.000
Te  0.746  0.311  0.622
Te  0.399  0.107  0.816
Te  0.601  0.893  0.184
Tl  0.788  0.782  0.564
As  0.176  0.493  0.987
Te  0.601  0.291  0.184
Te  0.399  0.709  0.816
Tl  0.212  0.218  0.436

Calculated values
- M_tot: 0.00 μB per formula unit
- Formation energy from raw total energies: 0.05 eV per atom
- Relative energy among the computed polymorphs: 0 meV per atom
- Calculated volume: 35.0 Å³ per atom
- Space group: C2/m

# 8
This record from Alexandria describes an optimized crystal structure of SrNd2Tm. The functional is PBE-GGA.

a b c (Å): 5.942 5.942 5.942
angles (deg): 60.00 60.00 60.00
Element x y z (fractional)
Sr  0.500  0.500  0.500
Nd  0.250  0.250  0.250
Nd  0.750  0.750  0.750
Tm  0.000  0.000  0.000

Calculated values
- M_tot: 0.00 μB per formula unit
- Relative energy among the computed polymorphs: 108 meV per atom
- Calculated volume: 37.1 Å³ per atom
- Formation energy from the elements: 0.209 eV per atom
- Space group: Fm-3m

# 9
This record from Alexandria describes an optimized crystal structure of AcTlO3. The functional is PBE-GGA.

a b c (Å): 4.139 6.014 9.025
angles (deg): 117.22 90.00 90.00
Element x y z (fractional)
O  0.250  0.865  0.656
Tl  0.250  0.715  0.837
O  0.750  0.575  0.895
O  0.750  0.195  0.378
Ac  0.750  0.108  0.623
O  0.250  0.341  0.622
O  0.750  0.671  0.344
O  0.250  0.961  0.105
Tl  0.750  0.822  0.163
Ac  0.250  0.429  0.377

Calculated values
- M_tot: 0.00 μB per formula unit
- Formation energy from raw total energies: -2.02 eV per atom
- Calculated volume: 20.0 Å³ per atom
- Space group: P2_1/m

# 10
This record from Alexandria describes an optimized crystal structure of PmNd2Sm2Tm2. The functional is PBE-GGA.

a b c (Å): 5.099 6.230 8.088
angles (deg): 97.44 90.00 114.16
Element x y z (fractional)
Sm  0.144  0.287  0.429
Pm  0.000  0.000  0.000
Sm  0.856  0.713  0.571
Tm  0.715  0.429  0.142
Nd  0.428  0.857  0.282
Nd  0.572  0.143  0.718
Tm  0.285  0.571  0.858

Calculated values
- M_tot: 0.00 μB per formula unit
- Calculated volume: 33.1 Å³ per atom
- Formation energy from the elements: 0.018 eV per atom
- Space group: C2/m

# 11
This record from Alexandria describes an optimized crystal structure of ZnAgAs2. The functional is PBE-GGA.

a b c (Å): 2.838 4.029 6.599
angles (deg): 90.00 90.00 90.00
Element x y z (fractional)
As  0.000  0.000  0.945
Zn  0.000  0.000  0.504
Ag  0.500  0.500  0.742
As  0.500  0.500  0.308

Calculated values
- M_tot: 0.00 μB per formula unit
- Calculated volume: 18.9 Å³ per atom
- Formation energy from the elements: 0.207 eV per atom
- Space group: Pmm2

# 12
This record from Alexandria describes an optimized crystal structure of CaTa2Cr. The functional is PBE-GGA.

a b c (Å): 4.040 4.040 10.699
angles (deg): 79.12 79.12 90.00
Last column: magnetic moment on the atom in μB.
Element x y z (fractional)
Ta  0.375  0.359  0.750  -0.39
Cr  0.000  0.000  0.000  3.24
Ta  0.875  0.891  0.750  -0.39
Ca  0.250  0.750  0.500  0.00
Ca  0.500  0.500  0.000  0.00
Cr  0.750  0.250  0.500  3.24
Ta  0.641  0.125  0.250  -0.39
Ta  0.109  0.625  0.250  -0.39

Calculated values
- M_tot: 2.39 μB per formula unit
- Relative energy among the computed polymorphs: 605 meV per atom
- Calculated volume: 21.0 Å³ per atom
- Formation energy from the elements: 1.078 eV per atom
- Space group: I-42d

# 13
This record from Alexandria describes an optimized crystal structure of ZnSiAu2. The functional is PBE-GGA.

a b c (Å): 3.560 3.568 5.307
angles (deg): 90.00 90.00 90.00
Element x y z (fractional)
Zn  0.500  0.500  0.781
Si  0.000  0.000  0.466
Au  0.000  0.000  0.960
Au  0.500  0.500  0.293

Calculated values
- M_tot: 0.00 μB per formula unit
- Formation energy from raw total energies: -0.02 eV per atom
- Calculated volume: 16.9 Å³ per atom
- Space group: P4mm

# 14
This record from Alexandria describes an optimized crystal structure of B2C. The functional is PBE-GGA.

a b c (Å): 2.563 3.450 4.115
angles (deg): 90.00 106.13 90.00
Element x y z (fractional)
C  0.088  0.500  0.665
B  0.580  0.244  0.649
B  0.580  0.756  0.649

Calculated values
- M_tot: 0.00 μB per formula unit
- Relative energy among the computed polymorphs: 292 meV per atom
- Calculated volume: 11.7 Å³ per atom
- Formation energy from the elements: 0.477 eV per atom
- Space group: Pm

# 15
This record from Alexandria describes an optimized crystal structure of Cr3CdTc. The functional is PBE-GGA.

a b c (Å): 4.662 4.662 4.662
angles (deg): 90.00 90.00 90.00
Last column: magnetic moment on the atom in μB.
Element x y z (fractional)
Cr  0.000  0.000  0.500  2.54
Tc  0.000  0.000  0.000  -0.89
Cd  0.500  0.500  0.500  -0.07
Cr  0.500  0.000  0.000  3.27
Cr  0.000  0.500  0.000  2.87

Calculated values
- M_tot: 8.33 μB per formula unit
- Relative energy among the computed polymorphs: 0 meV per atom
- Calculated volume: 20.3 Å³ per atom
- Formation energy from the elements: 1.175 eV per atom
- Space group: Pm-3m

# 16
This record from Alexandria describes an optimized crystal structure of LaMg3Ag3. The functional is PBE-GGA.

a b c (Å): 4.958 8.590 8.591
angles (deg): 120.02 90.00 90.00
Element x y z (fractional)
Mg  0.250  0.761  0.776
Ag  0.250  0.544  0.930
Ag  0.250  0.070  0.614
Mg  0.250  0.224  0.985
Ag  0.250  0.386  0.456
Ag  0.750  0.614  0.544
Mg  0.750  0.239  0.224
Mg  0.250  0.015  0.239
Ag  0.750  0.930  0.386
Ag  0.750  0.456  0.070
Mg  0.750  0.985  0.761
Mg  0.750  0.776  0.015
La  0.750  0.333  0.667
La  0.250  0.667  0.333

Calculated values
- M_tot: 0.00 μB per formula unit
- Relative energy among the computed polymorphs: 0 meV per atom
- Calculated volume: 22.6 Å³ per atom
- Formation energy from the elements: -0.192 eV per atom
- Space group: P6_3/m

# 17
This record from Alexandria describes an optimized crystal structure of LiTi2Cl6. The functional is PBE-GGA.

a b c (Å): 6.616 6.116 6.116
angles (deg): 120.00 90.00 90.00
Last column: magnetic moment on the atom in μB.
Element x y z (fractional)
Cl  0.715  0.336  0.000  -0.01
Cl  0.285  0.664  0.000  -0.01
Cl  0.285  0.336  0.336  -0.01
Li  0.500  0.000  0.000  0.00
Cl  0.285  0.000  0.664  -0.01
Cl  0.715  0.664  0.664  -0.01
Ti  0.500  0.333  0.667  1.25
Cl  0.715  0.000  0.336  -0.01
Ti  0.500  0.667  0.333  1.25

Calculated values
- M_tot: 3.00 μB per formula unit
- Formation energy from raw total energies: -1.61 eV per atom
- Relative energy among the computed polymorphs: 0 meV per atom
- Calculated volume: 23.8 Å³ per atom
- Space group: P-31m